# 1
## CoNiPdPb (PBE)

Data for an optimized crystal structure of CoNiPdPb.

Results
energy relative to the lowest polymorph listed for this composition: 0 meV per atom

Structure (CIF):
```
data_CoNiPdPb
_symmetry_space_group_name_H-M 'F -4 3 m'
_symmetry_Int_Tables_number 216
_symmetry_space_group_name_Hall 'F -4 2 3'
_cell_length_a 6.2127
_cell_length_b 6.2127
_cell_length_c 6.2127
_cell_angle_alpha 90.00
_cell_angle_beta 90.00
_cell_angle_gamma 90.00
loop_
_atom_site_label
_atom_site_type_symbol
_atom_site_fract_x
_atom_site_fract_y
_atom_site_fract_z
Co1 Co 0.0000 0.0000 0.0000
Ni1 Ni 0.0000 0.0000 0.5000
Pd1 Pd 0.2500 0.2500 0.2500
Pb1 Pb 0.2500 0.2500 0.7500
```


# 2
## Zr2AgO (PBE)

Data for an optimized crystal structure of Zr2AgO.

Results
final energy: -29.802 eV per formula unit

Structure (CIF):
```
data_Zr2AgO
_symmetry_space_group_name_H-M 'C m c m'
_symmetry_Int_Tables_number 63
_symmetry_space_group_name_Hall '-C 2c 2'
_cell_length_a 3.2816
_cell_length_b 17.5487
_cell_length_c 4.5379
_cell_angle_alpha 90.00
_cell_angle_beta 90.00
_cell_angle_gamma 90.00
loop_
_atom_site_label
_atom_site_type_symbol
_atom_site_fract_x
_atom_site_fract_y
_atom_site_fract_z
Zr1 Zr 0.0000 0.1055 0.2500
Zr2 Zr 0.0000 0.2906 0.2500
Ag1 Ag 0.0000 0.4558 0.2500
O1 O 0.0000 0.3023 0.7500
```


# 3
## GdAsSe4 (PBE)

Data for an optimized crystal structure of GdAsSe4.

Results
final energy: -27.795 eV per formula unit

Structure (CIF):
```
data_GdAsSe4
_symmetry_space_group_name_H-M 'P -1'
_symmetry_Int_Tables_number 2
_cell_length_a 6.8787
_cell_length_b 6.9594
_cell_length_c 7.7146
_cell_angle_alpha 87.85
_cell_angle_beta 87.49
_cell_angle_gamma 81.18
loop_
_symmetry_equiv_pos_as_xyz
'x,y,z'
'-x,-y,-z'
loop_
_atom_site_label
_atom_site_type_symbol
_atom_site_fract_x
_atom_site_fract_y
_atom_site_fract_z
Gd1 Gd 0.2031 0.2084 0.0604
As1 As 0.3122 0.7577 0.8006
Se1 Se 0.0653 0.0296 0.7480
Se2 Se 0.1175 0.5066 0.7712
Se3 Se 0.3933 0.7790 0.0949
Se4 Se 0.4019 0.2695 0.3714
```


# 4
## PrBBr2Cl4 (PBE)

Data for an optimized crystal structure of PrBBr2Cl4.

Results
final energy: -27.982 eV per formula unit

Structure (CIF):
```
data_PrBBr2Cl4
_symmetry_space_group_name_H-M 'P 1 m 1'
_symmetry_Int_Tables_number 6
_cell_length_a 8.9626
_cell_length_b 3.3413
_cell_length_c 8.9991
_cell_angle_alpha 90.00
_cell_angle_beta 114.47
_cell_angle_gamma 90.00
loop_
_symmetry_equiv_pos_as_xyz
'x,y,z'
'x,-y,z'
loop_
_atom_site_label
_atom_site_type_symbol
_atom_site_fract_x
_atom_site_fract_y
_atom_site_fract_z
Pr1 Pr 0.0000 0.0000 0.0000
B1 B 0.2992 0.5000 0.6472
Br1 Br 0.4801 0.0000 0.6294
Br2 Br 0.7990 0.5000 0.1038
Cl1 Cl 0.1171 0.0000 0.4922
Cl2 Cl 0.2532 0.5000 0.1747
Cl3 Cl 0.3022 0.0000 0.8454
Cl4 Cl 0.8981 0.5000 0.7362
```


# 5
## TbB2S2 (PBE)

Data for an optimized crystal structure of TbB2S2.

Results
final energy: -25.328 eV per formula unit

Structure (CIF):
```
data_TbB2S2
_symmetry_space_group_name_H-M 'I 4/m m m'
_symmetry_Int_Tables_number 139
_symmetry_space_group_name_Hall '-I 4 2'
_cell_length_a 4.0937
_cell_length_b 4.0937
_cell_length_c 17.3620
_cell_angle_alpha 90.00
_cell_angle_beta 90.00
_cell_angle_gamma 90.00
loop_
_atom_site_label
_atom_site_type_symbol
_atom_site_fract_x
_atom_site_fract_y
_atom_site_fract_z
Tb1 Tb 0.0000 0.0000 0.1092
B1 B 0.0000 0.0000 0.4503
B2 B 0.0000 0.5000 0.2500
S1 S 0.0000 0.0000 0.2647
S2 S 0.0000 0.5000 0.0000
```


# 6
## PaSnNO (PBE)

Data for an optimized crystal structure of PaSnNO.

Results
energy relative to the lowest polymorph listed for this composition: 106 meV per atom

Structure (CIF):
```
data_PaSnNO
_symmetry_space_group_name_H-M 'P m c 21'
_symmetry_Int_Tables_number 26
_cell_length_a 3.7125
_cell_length_b 7.3054
_cell_length_c 6.6495
_cell_angle_alpha 90.00
_cell_angle_beta 90.00
_cell_angle_gamma 90.00
loop_
_symmetry_equiv_pos_as_xyz
'x,y,z'
'-x,-y,z+1/2'
'-x,y,z'
'x,-y,z+1/2'
loop_
_atom_site_label
_atom_site_type_symbol
_atom_site_fract_x
_atom_site_fract_y
_atom_site_fract_z
Pa1 Pa 0.0000 0.1659 0.0000
Sn1 Sn 0.5000 0.2337 0.4736
N1 N 0.0000 0.0934 0.3247
O1 O 0.5000 0.3073 0.9531
```